# 1
Entry from Alexandria via LeMat-Bulk: an optimized crystal structure of ZrTiRu4 (GGA-PBE).

Properties
E_form   -0.239 eV per atom

Cell: 7.2851 7.2851 7.2851 Å, 90.00 90.00 90.00°
Last column: nearest neighbours and their distance in Å.
Space group F-43m (No. 216)
Inequivalent atoms, fractional coordinates:
Zr (0.0000, 0.0000, 0.0000) x4  12 Ru 3.02, 4 Ti 3.15
Ti (0.2500, 0.2500, 0.2500) x4  12 Ru 3.02, 4 Zr 3.15
Ru (0.1247, 0.1247, 0.6247) x16  6 Ru 2.57-2.58

=====

# 2
Entry from Alexandria via LeMat-Bulk: an optimized crystal structure of LaNdZnCd (GGA-PBE).

Properties
E_form   -0.321 eV per atom

Cell: 3.7842 3.7842 7.7084 Å, 90.00 90.00 90.00°
Last column: nearest neighbours and their distance in Å.
Space group P4mm (No. 99)
Inequivalent atoms, fractional coordinates:
La (0.0000, 0.0000, 0.0000) x1  4 Zn 3.25, 4 Cd 3.43, 1 Nd 3.54
Nd (0.0000, 0.0000, 0.4592) x1  4 Zn 3.17, 4 Cd 3.35, 1 La 3.54
Zn (0.5000, 0.5000, 0.2391) x1  4 Nd 3.17, 4 La 3.25
Cd (0.5000, 0.5000, 0.7213) x1  4 Nd 3.35, 4 La 3.43, 1 Zn 3.72

=====

# 3
Entry from Alexandria via LeMat-Bulk: an optimized crystal structure of Pu2MgZrN4 (GGA-PBE).

Properties
Formation energy without anion corrections   -27.8 kcal/mol of atoms

Cell: 5.7942 3.3664 5.7987 Å, 90.00 110.11 90.00°
Last column: nearest neighbours and their distance in Å.
Space group P2/m (No. 10)
Inequivalent atoms, fractional coordinates:
Pu (0.0000, 0.0000, 0.0000) x1  6 N 2.41-2.45
Pu (0.5000, 0.5000, 0.0000) x1  6 N 2.36-2.42
Mg (0.0000, 0.5000, 0.5000) x1  6 N 2.34-2.38
Zr (0.5000, 0.0000, 0.5000) x1  6 N 2.30-2.32
N (0.2544, 0.5000, 0.2631) x2  2 Zr 2.32, 1 Mg 2.34, 3 Pu 2.41-2.42
N (0.2598, 0.0000, 0.7446) x2  1 Zr 2.30, 3 Pu 2.36-2.45, 2 Mg 2.38

=====

M_tot: 0.0 0.0 0.3 (μB/f.u.)
Final energy: -9.16 -3.29 -10.22 (eV/atom)